Model i:
The following is a PBE-GGA calculation of Li2NbPt after structural relaxation, from Alexandria.

Cell lengths 6.0429, 6.0429, 6.0429 Å; angles 90.00, 90.00, 90.00 degrees
Last column: nearest neighbours and their distance in Å.
Space group Fm-3m (No. 225)
Unique sites:
Li (0.2500, 0.2500, 0.2500)  4 Nb 2.62, 4 Pt 2.62
Nb (0.0000, 0.0000, 0.0000)  8 Li 2.62
Pt (0.0000, 0.0000, 0.5000)  8 Li 2.62

## Properties
crystal system: cubic
magnetization: 0.0 μB per formula unit

---

Model ii:
The following is a PBE-GGA calculation of Li2NbPt after structural relaxation, from Alexandria.

Cell lengths 3.7142, 3.7142, 19.8629 Å; angles 90.00, 90.00, 90.00 degrees
Last column: nearest neighbours and their distance in Å.
Space group I-42d (No. 122)
Unique sites:
Li (0.2264, 0.2500, 0.1250)  4 Li 2.51-2.75, 2 Pt 2.78
Nb (0.0000, 0.0000, 0.5000)  4 Pt 2.63, 4 Li 2.84
Pt (0.0000, 0.0000, 0.0000)  4 Nb 2.63, 4 Li 2.78

## Properties
crystal system: tetragonal
magnetization: 0.0 μB per formula unit

---

Question: of the structures shown, which is the most stable? Reply: model ii.